Record 1
VASP calculation (PBE-GGA) on a relaxed structure of PmSmHoTh2.

Properties
As for the formation enthalpy at 0 K: 0.3881 eV/atom. Its final energy is -5.389 eV/atom.

```
PmSmHoTh2
1.0
3.348 -7.853 0.000
3.348 7.853 0.000
0.000 0.000 6.703
Pm Sm Ho Th
2 2 2 4
Direct
0.152 0.848 0.750
0.848 0.152 0.250
0.258 0.742 0.250
0.742 0.258 0.750
0.349 0.651 0.750
0.651 0.349 0.250
0.252 0.252 0.000
0.252 0.252 0.500
0.748 0.748 0.000
0.748 0.748 0.500
```

=====

Record 2
VASP calculation (PBE-GGA) on a relaxed structure of ThZnBiPd.

Properties
As for the formation enthalpy at 0 K: -0.4224 eV/atom. Its final energy is -4.864 eV/atom.

```
ThZnBiPd
1.0
7.167 0.000 0.000
0.000 7.167 0.000
0.000 0.000 7.167
Th Zn Bi Pd
4 4 4 4
Direct
0.000 0.000 0.000
0.000 0.500 0.500
0.500 0.000 0.500
0.500 0.500 0.000
0.250 0.250 0.250
0.250 0.750 0.750
0.750 0.250 0.750
0.750 0.750 0.250
0.000 0.000 0.500
0.000 0.500 0.000
0.500 0.000 0.000
0.500 0.500 0.500
0.250 0.250 0.750
0.250 0.750 0.250
0.750 0.250 0.250
0.750 0.750 0.750
```

=====

Record 3
VASP calculation (PBE-GGA) on a relaxed structure of TbPm6Pr8.

Properties
As for the formation enthalpy at 0 K: 0.1477 eV/atom. Its final energy is -4.610 eV/atom. The calculation puts the offset from the most stable computed form at 37 meV per atom.

```
TbPm6Pr8
1.0
5.008 2.891 6.090
-5.008 2.891 6.090
0.000 -5.782 6.090
Tb Pm Pr
1 6 8
Direct
0.000 0.000 0.000
0.081 0.609 0.283
0.283 0.081 0.609
0.391 0.717 0.919
0.609 0.283 0.081
0.717 0.919 0.391
0.919 0.391 0.717
0.071 0.774 0.645
0.226 0.355 0.929
0.355 0.929 0.226
0.414 0.414 0.414
0.586 0.586 0.586
0.645 0.071 0.774
0.774 0.645 0.071
0.929 0.226 0.355
```

=====

Record 4
VASP calculation (PBE-GGA) on a relaxed structure of YBe2Os.

Properties
As for the formation enthalpy at 0 K: 0.1196 eV/atom. Its final energy is -6.167 eV/atom. The calculation puts the offset from the most stable computed form at 338 meV per atom.

```
YBe2Os
1.0
3.131 0.000 0.000
0.000 3.131 0.000
0.000 0.000 6.359
Y Be Os
1 2 1
Direct
0.000 0.000 0.000
0.000 0.000 0.545
0.500 0.500 0.350
0.500 0.500 0.693
```

=====

Record 5
VASP calculation (PBE-GGA) on a relaxed structure of Zn3P.

Properties
As for the formation enthalpy at 0 K: 0.1634 eV/atom. Its final energy is -2.144 eV/atom. The calculation puts the offset from the most stable computed form at 127 meV per atom.

```
Zn3P
1.0
3.577 0.000 0.000
0.000 3.577 0.000
0.000 0.000 4.982
Zn P
3 1
Direct
0.000 0.000 0.000
0.500 0.500 0.254
0.500 0.500 0.746
0.000 0.000 0.500
```

=====

Record 6
VASP calculation (PBE-GGA) on a relaxed structure of CsAs3H3.

Properties
Its final energy is -3.540 eV/atom.

```
CsAs3H3
1.0
3.703 2.138 6.964
-3.703 2.138 6.964
0.000 -4.276 6.964
Cs As H
2 6 6
Direct
0.217 0.217 0.217
0.783 0.783 0.783
0.304 0.304 0.655
0.304 0.655 0.304
0.345 0.696 0.696
0.655 0.304 0.304
0.696 0.345 0.696
0.696 0.696 0.345
0.220 0.220 0.601
0.220 0.601 0.220
0.399 0.780 0.780
0.601 0.220 0.220
0.780 0.399 0.780
0.780 0.780 0.399
```

=====

Record 7
VASP calculation (PBE-GGA) on a relaxed structure of LiInCu2.

Properties
As for the formation enthalpy at 0 K: 0.0135 eV/atom. Its final energy is -3.198 eV/atom.

```
LiInCu2
1.0
5.395 0.000 0.000
0.000 8.478 0.000
-0.857 0.000 2.677
Li In Cu
2 2 4
Direct
0.000 0.000 0.000
0.500 0.500 0.000
0.000 0.500 0.000
0.500 0.000 0.000
0.250 0.250 0.500
0.250 0.750 0.500
0.750 0.250 0.500
0.750 0.750 0.500
```

=====

Record 8
VASP calculation (PBE-GGA) on a relaxed structure of ReBi2F.

Properties
Its final energy is -5.271 eV/atom. The value obtained for the uncorrected formation energy is 250 meV per atom. The calculation puts the offset from the most stable computed form at 153 meV per atom.

```
ReBi2F
1.0
5.935 0.000 0.000
0.000 5.935 0.000
0.000 0.000 12.664
Re Bi F
4 8 4
Direct
0.000 0.000 0.000
0.000 0.500 0.250
0.500 0.000 0.750
0.500 0.500 0.500
0.245 0.250 0.625
0.250 0.745 0.875
0.250 0.755 0.375
0.255 0.250 0.125
0.745 0.750 0.125
0.750 0.245 0.375
0.750 0.255 0.875
0.755 0.750 0.625
0.000 0.000 0.500
0.000 0.500 0.750
0.500 0.000 0.250
0.500 0.500 0.000
```

=====

Record 9
VASP calculation (PBE-GGA) on a relaxed structure of BaLiHg2Au.

Properties
As for the formation enthalpy at 0 K: -0.4061 eV/atom. Its final energy is -1.950 eV/atom. The calculation puts the offset from the most stable computed form at 0 meV per atom.

```
BaLiHg2Au
1.0
5.131 0.000 0.000
0.000 5.131 0.000
0.000 0.000 5.126
Ba Li Hg Au
1 1 2 1
Direct
0.000 0.000 0.000
0.500 0.500 0.500
0.000 0.500 0.500
0.500 0.000 0.500
0.500 0.500 0.000
```

=====

Record 10
VASP calculation (PBE-GGA) on a relaxed structure of NbFeCu2.

Properties
As for the formation enthalpy at 0 K: 0.3494 eV/atom. Its final energy is -6.332 eV/atom. The calculation puts the offset from the most stable computed form at 0 meV per atom.

```
NbFeCu2
1.0
5.967 0.000 0.000
0.000 5.967 0.000
0.000 0.000 5.967
Nb Fe Cu
4 4 8
Direct
0.000 0.000 0.000
0.000 0.500 0.500
0.500 0.000 0.500
0.500 0.500 0.000
0.000 0.000 0.500
0.000 0.500 0.000
0.500 0.000 0.000
0.500 0.500 0.500
0.250 0.250 0.250
0.250 0.250 0.750
0.250 0.750 0.250
0.250 0.750 0.750
0.750 0.250 0.250
0.750 0.250 0.750
0.750 0.750 0.250
0.750 0.750 0.750
```

=====

Record 11
VASP calculation (PBE-GGA) on a relaxed structure of ScCdAs2Br.

Properties
Its final energy is -3.285 eV/atom. The value obtained for the uncorrected formation energy is 359 meV per atom. The calculation puts the offset from the most stable computed form at 472 meV per atom.

```
ScCdAs2Br
1.0
5.074 0.000 0.000
0.000 5.074 0.000
0.000 0.000 5.439
Sc Cd As Br
1 1 2 1
Direct
0.000 0.000 0.000
0.500 0.500 0.500
0.000 0.500 0.500
0.500 0.000 0.500
0.500 0.500 0.000
```

=====

Record 12
VASP calculation (PBE-GGA) on a relaxed structure of CeThIn4.

Properties
As for the formation enthalpy at 0 K: -0.3249 eV/atom. Its final energy is -4.376 eV/atom. The calculation puts the offset from the most stable computed form at 0 meV per atom.

```
CeThIn4
1.0
3.590 0.000 0.000
0.000 5.101 0.000
0.000 0.000 8.843
Ce Th In
1 1 4
Direct
0.000 0.000 0.000
0.000 0.500 0.500
0.497 0.000 0.668
0.498 0.500 0.166
0.502 0.500 0.834
0.503 0.000 0.332
```